Entry 1:
Compound: Er2Ga9Co3
Source: the Open Quantum Materials Database
Functional: PBE-GGA
Structure: relaxed

- uncorrected energy (eV per formula unit) = -64.442
- total moment (μB/atom) = 0.00

Cell lengths 12.6803, 7.3605, 9.3819 Å; angles 90.00, 90.00, 90.00 degrees
Closest atoms and distances in Å follow each position.
Space group Cmcm (No. 63)
Inequivalent atoms, fractional coordinates:
Er 0.1641 0.1676 0.2500  11 Ga 2.95-3.02
Ga 0.0000 0.1203 0.7500  2 Co 2.51, 6 Ga 2.72-2.74
Ga 0.0000 0.3333 0.0588  3 Co 2.51-2.55, 5 Ga 2.69-2.79
Ga 0.1075 0.4436 0.7500  2 Co 2.51, 6 Ga 2.73-2.79
Ga 0.1672 0.1669 0.5723  3 Co 2.48-2.54, 3 Ga 2.72-2.74
Co 0.0000 0.0000 0.0000  8 Ga 2.51-2.54
Co 0.1710 0.5000 0.0000  8 Ga 2.48-2.55

Entry 2:
Compound: Gd2HfN3
Source: the Open Quantum Materials Database
Functional: PBE-GGA
Structure: relaxed

- uncorrected energy (eV per formula unit) = -54.430
- total moment (μB/atom) = 0.00

Cell lengths 3.3699, 3.3699, 8.3972 Å; angles 90.00, 90.00, 120.00 degrees
Closest atoms and distances in Å follow each position.
Space group P-3m1 (No. 164)
Inequivalent atoms, fractional coordinates:
Gd 0.3333 0.6667 0.3302  6 N 2.41-2.50
Hf 0.0000 0.0000 0.0000  6 N 2.29
N 0.0000 0.0000 0.5000  6 Gd 2.41
N 0.3333 0.6667 0.8572  3 Hf 2.29, 3 Gd 2.50

Entry 3:
Compound: PrGdPb
Source: the Open Quantum Materials Database
Functional: PBE-GGA
Structure: relaxed

- uncorrected energy (eV per formula unit) = -12.166
- total moment (μB/atom) = 0.29

Cell lengths 7.6060, 7.6060, 7.6060 Å; angles 90.00, 90.00, 90.00 degrees
Closest atoms and distances in Å follow each position.
Space group F-43m (No. 216)
Inequivalent atoms, fractional coordinates:
Pr 0.0000 0.0000 0.0000  4 Gd 3.29, 4 Pb 3.29
Gd 0.2500 0.2500 0.7500  4 Pr 3.29
Pb 0.2500 0.2500 0.2500  4 Pr 3.29

Entry 4:
Compound: NbFeBOs
Source: the Open Quantum Materials Database
Functional: PBE-GGA
Structure: relaxed

- uncorrected energy (eV per formula unit) = -34.241
- total moment (μB/atom) = 0.87

Cell lengths 5.9705, 5.9705, 5.9705 Å; angles 90.00, 90.00, 90.00 degrees
Closest atoms and distances in Å follow each position.
Space group F-43m (No. 216)
Inequivalent atoms, fractional coordinates:
Nb 0.0000 0.0000 0.0000  4 Os 2.59, 4 B 2.59
Fe 0.0000 0.0000 0.5000  4 Os 2.59, 4 B 2.59
B 0.2500 0.2500 0.2500  4 Nb 2.59, 4 Fe 2.59
Os 0.2500 0.2500 0.7500  4 Nb 2.59, 4 Fe 2.59

Entry 5:
Compound: ZnSiNiMo
Source: the Open Quantum Materials Database
Functional: PBE-GGA
Structure: relaxed

- uncorrected energy (eV per formula unit) = -23.343
- total moment (μB/atom) = 0.03

Cell lengths 5.9342, 5.9342, 5.9342 Å; angles 90.00, 90.00, 90.00 degrees
Closest atoms and distances in Å follow each position.
Space group F-43m (No. 216)
Inequivalent atoms, fractional coordinates:
Zn 0.0000 0.0000 0.0000  4 Mo 2.57, 4 Ni 2.57
Si 0.0000 0.0000 0.5000  4 Mo 2.57, 4 Ni 2.57
Ni 0.2500 0.2500 0.7500  4 Si 2.57, 4 Zn 2.57
Mo 0.2500 0.2500 0.2500  4 Si 2.57, 4 Zn 2.57

Entry 6:
Compound: Lu2Tl2O5
Source: the Open Quantum Materials Database
Functional: PBE-GGA
Structure: relaxed

- uncorrected energy (eV per formula unit) = -48.995
- total moment (μB/atom) = 0.01

Cell lengths 4.2922, 4.2922, 6.9703 Å; angles 90.00, 90.00, 90.00 degrees
Closest atoms and distances in Å follow each position.
Space group P4/mmm (No. 123)
Inequivalent atoms, fractional coordinates:
Lu 0.0000 0.0000 0.0000  8 O 2.76
Lu 0.0000 0.0000 0.5000  12 O 2.77-3.04
Tl 0.5000 0.5000 0.1920  5 O 2.15-2.18
O 0.0000 0.5000 0.2479  2 Tl 2.18
O 0.5000 0.5000 0.5000  2 Tl 2.15

Entry 7:
Compound: NaYSiPt
Source: the Open Quantum Materials Database
Functional: PBE-GGA
Structure: relaxed

- uncorrected energy (eV per formula unit) = -20.820
- total moment (μB/atom) = 0.00

Cell lengths 6.8463, 6.8463, 6.8463 Å; angles 90.00, 90.00, 90.00 degrees
Closest atoms and distances in Å follow each position.
Space group F-43m (No. 216)
Inequivalent atoms, fractional coordinates:
Na 0.0000 0.0000 0.0000  4 Pt 2.96, 4 Si 2.96
Y 0.0000 0.0000 0.5000  4 Si 2.96, 4 Pt 2.96
Si 0.2500 0.2500 0.2500  4 Na 2.96, 4 Y 2.96
Pt 0.2500 0.2500 0.7500  4 Na 2.96, 4 Y 2.96

Entry 8:
Compound: Li4AlSbPt2
Source: the Open Quantum Materials Database
Functional: PBE-GGA
Structure: relaxed

- uncorrected energy (eV per formula unit) = -33.114
- total moment (μB/atom) = 0.00

Cell lengths 4.3465, 4.3465, 6.2512 Å; angles 90.00, 90.00, 90.00 degrees
Closest atoms and distances in Å follow each position.
Space group P-4m2 (No. 115)
Inequivalent atoms, fractional coordinates:
Li 0.0000 0.0000 0.0000  4 Li 2.74, 4 Pt 2.75, 4 Sb 3.07
Li 0.0000 0.5000 0.7318  4 Li 2.61-2.74, 2 Al 2.61, 2 Sb 2.74, 1 Pt 2.89
Li 0.5000 0.5000 0.5000  4 Pt 2.61, 4 Li 2.61
Al 0.0000 0.0000 0.5000  4 Pt 2.61, 4 Li 2.61
Sb 0.5000 0.5000 0.0000  8 Li 2.74-3.07, 4 Pt 2.75
Pt 0.0000 0.5000 0.2687  5 Li 2.61-2.89, 2 Al 2.61, 2 Sb 2.75